Model w:
The following is a DFT calculation (GGA-PBE) of an optimized crystal structure of RbPdRh3.

Cell lengths 4.928, 4.928, 4.928 Å; angles 90.00, 90.00, 90.00 degrees
Sites, in units of the cell vectors:
Rh (0.000, 0.500, 0.000)
Rh (0.000, 0.000, 0.500)
Rh (0.500, 0.000, 0.000)
Rb (0.500, 0.500, 0.500)
Pd (0.000, 0.000, 0.000)

Spin magnetization: 3.32 μB/f.u.
Space group: Pm-3m (221)
D(E_F): 6.86 states/eV/cell


Model x:
The following is a DFT calculation (GGA-PBE) of an optimized crystal structure of RbPdRh3.

Cell lengths 4.783, 4.783, 4.783 Å; angles 90.00, 90.00, 90.00 degrees
Sites, in units of the cell vectors:
Rh (0.000, 0.500, 0.000)
Rh (0.000, 0.000, 0.500)
Rh (0.500, 0.000, 0.000)
Rb (0.000, 0.000, 0.000)
Pd (0.500, 0.500, 0.500)

Spin magnetization: 2.67 μB/f.u.
Space group: Pm-3m (221)
D(E_F): 9.54 states/eV/cell


Which of them is most stable? Easy: model w.


Model w:
The following is a DFT calculation (GGA-PBE) of an optimized crystal structure of RbPd2Rh.

Cell lengths 5.385, 5.385, 9.136 Å; angles 72.86, 72.86, 90.00 degrees
Sites, in units of the cell vectors:
Rh (0.000, 0.000, 0.000)
Rh (0.750, 0.250, 0.500)
Rb (0.500, 0.500, 0.000)
Rb (0.250, 0.750, 0.500)
Pd (0.875, 0.125, 0.250)
Pd (0.875, 0.625, 0.250)
Pd (0.375, 0.125, 0.750)
Pd (0.875, 0.125, 0.750)

Spin magnetization: 0.58 μB/f.u.
Space group: I4_1/amd (141)
D(E_F): 5.55 states/eV/cell


Model x:
The following is a DFT calculation (GGA-PBE) of an optimized crystal structure of RbPd2Rh.

Cell lengths 4.795, 4.795, 4.795 Å; angles 60.00, 60.00, 60.00 degrees
Sites, in units of the cell vectors:
Rh (0.500, 0.500, 0.500)
Rb (0.000, 0.000, 0.000)
Pd (0.250, 0.250, 0.250)
Pd (0.750, 0.750, 0.750)

Spin magnetization: 1.35 μB/f.u.
Space group: Fm-3m (225)
D(E_F): 3.92 states/eV/cell


Which of them is most stable? Easy: model w.


Model w:
The following is a DFT calculation (GGA-PBE) of an optimized crystal structure of RbPd2Ru.

Cell lengths 4.823, 4.823, 4.823 Å; angles 60.00, 60.00, 60.00 degrees
Sites, in units of the cell vectors:
Ru (0.500, 0.500, 0.500)
Rb (0.000, 0.000, 0.000)
Pd (0.250, 0.250, 0.250)
Pd (0.750, 0.750, 0.750)

Spin magnetization: 2.67 μB/f.u.
Space group: Fm-3m (225)
D(E_F): 4.59 states/eV/cell


Model x:
The following is a DFT calculation (GGA-PBE) of an optimized crystal structure of RbPd2Ru.

Cell lengths 7.812, 7.812, 6.369 Å; angles 52.17, 52.17, 90.00 degrees
Sites, in units of the cell vectors:
Ru (0.000, 0.000, 0.000)
Ru (0.750, 0.250, 0.500)
Rb (0.500, 0.500, 0.000)
Rb (0.250, 0.750, 0.500)
Pd (0.695, 0.125, 0.250)
Pd (0.055, 0.625, 0.250)
Pd (0.375, 0.305, 0.750)
Pd (0.875, 0.945, 0.750)

Spin magnetization: 2.94 μB/f.u.
Space group: I-42d (122)
D(E_F): 8.69 states/eV/cell


Which of them is most stable? Easy: model x.


Model w:
The following is a DFT calculation (GGA-PBE) of an optimized crystal structure of RbPd2S.

Cell lengths 5.460, 5.460, 8.351 Å; angles 70.92, 70.92, 90.00 degrees
Sites, in units of the cell vectors:
S (0.500, 0.500, 0.000)
S (0.250, 0.750, 0.500)
Rb (0.000, 0.000, 0.000)
Rb (0.750, 0.250, 0.500)
Pd (0.375, 0.125, 0.250)
Pd (0.375, 0.625, 0.250)
Pd (0.375, 0.625, 0.750)
Pd (0.875, 0.625, 0.750)

Spin magnetization: 0.00 μB/f.u.
Space group: I4_1/amd (141)
D(E_F): 1.54 states/eV/cell


Model x:
The following is a DFT calculation (GGA-PBE) of an optimized crystal structure of RbPd2S.

Cell lengths 4.387, 4.387, 6.442 Å; angles 70.09, 70.09, 60.00 degrees
Sites, in units of the cell vectors:
S (0.500, 0.500, 0.500)
Rb (0.000, 0.000, 0.000)
Pd (0.189, 0.189, 0.433)
Pd (0.811, 0.811, 0.567)

Spin magnetization: 0.00 μB/f.u.
Space group: R-3m (166)
D(E_F): 2.72 states/eV/cell


Which of them is most stable? Easy: model w.


Model w:
The following is a DFT calculation (GGA-PBE) of an optimized crystal structure of Rb2PdS.

Cell lengths 5.553, 5.553, 5.553 Å; angles 60.00, 60.00, 60.00 degrees
Sites, in units of the cell vectors:
S (0.000, 0.000, 0.000)
Rb (0.250, 0.250, 0.250)
Rb (0.750, 0.750, 0.750)
Pd (0.500, 0.500, 0.500)

Spin magnetization: 0.00 μB/f.u.
Space group: Fm-3m (225)
D(E_F): 0.90 states/eV/cell


Model x:
The following is a DFT calculation (GGA-PBE) of an optimized crystal structure of Rb2PdS.

Cell lengths 5.009, 5.009, 10.993 Å; angles 76.83, 76.83, 90.00 degrees
Sites, in units of the cell vectors:
S (0.500, 0.500, 0.000)
S (0.250, 0.750, 0.500)
Rb (0.629, 0.125, 0.250)
Rb (0.121, 0.625, 0.250)
Rb (0.375, 0.371, 0.750)
Rb (0.875, 0.879, 0.750)
Pd (0.000, 0.000, 0.000)
Pd (0.750, 0.250, 0.500)

Spin magnetization: 0.00 μB/f.u.
Space group: I-42d (122)
D(E_F): 1.83 states/eV/cell


Which of them is most stable? Easy: model w.


Model w:
The following is a DFT calculation (GGA-PBE) of an optimized crystal structure of RbSbPd.

Cell lengths 5.146, 9.267, 7.578 Å; angles 76.70, 90.00, 90.00 degrees
Sites, in units of the cell vectors:
Rb (0.250, 0.364, 0.624)
Rb (0.250, 0.864, 0.124)
Rb (0.750, 0.636, 0.376)
Rb (0.750, 0.136, 0.876)
Pd (0.250, 0.664, 0.808)
Pd (0.250, 0.164, 0.308)
Pd (0.750, 0.336, 0.192)
Pd (0.750, 0.836, 0.692)
Sb (0.250, 0.952, 0.635)
Sb (0.250, 0.452, 0.135)
Sb (0.750, 0.048, 0.365)
Sb (0.750, 0.548, 0.865)

Spin magnetization: 0.00 μB/f.u.
Space group: P2_1/m (11)
D(E_F): 1.71 states/eV/cell


Model x:
The following is a DFT calculation (GGA-PBE) of an optimized crystal structure of RbSbPd.

Cell lengths 3.450, 7.503, 6.891 Å; angles 90.00, 90.00, 103.30 degrees
Sites, in units of the cell vectors:
Rb (0.677, 0.854, 0.750)
Rb (0.323, 0.146, 0.250)
Sb (0.413, 0.325, 0.750)
Sb (0.587, 0.675, 0.250)
Pd (0.000, 0.500, 0.000)
Pd (0.000, 0.500, 0.500)

Spin magnetization: 0.00 μB/f.u.
Space group: Cmcm (63)
D(E_F): 1.23 states/eV/cell


Model y:
The following is a DFT calculation (GGA-PBE) of an optimized crystal structure of RbSbPd.

Cell lengths 3.728, 3.728, 6.934 Å; angles 105.59, 105.59, 90.00 degrees
Sites, in units of the cell vectors:
Sb (0.719, 0.719, 0.437)
Pd (0.280, 0.280, 0.560)
Rb (0.001, 0.001, 0.002)

Spin magnetization: 0.00 μB/f.u.
Space group: I4mm (107)
D(E_F): 0.90 states/eV/cell


Model z:
The following is a DFT calculation (GGA-PBE) of an optimized crystal structure of RbSbPd.

Cell lengths 5.207, 5.208, 6.860 Å; angles 90.01, 90.01, 90.02 degrees
Sites, in units of the cell vectors:
Rb (0.750, 0.250, 0.619)
Rb (0.250, 0.750, 0.381)
Sb (0.750, 0.750, 0.000)
Sb (0.250, 0.250, 0.000)
Pd (0.750, 0.250, 0.123)
Pd (0.250, 0.750, 0.877)

Spin magnetization: 0.00 μB/f.u.
Space group: P4/nmm (129)
D(E_F): 1.58 states/eV/cell


Which of them is most stable? Easy: model x.


Model w:
The following is a DFT calculation (GGA-PBE) of an optimized crystal structure of Rb2SbPd2.

Cell lengths 4.662, 4.662, 11.052 Å; angles 77.82, 77.82, 60.00 degrees
Sites, in units of the cell vectors:
Rb (0.423, 0.423, 0.731)
Rb (0.577, 0.577, 0.269)
Sb (0.000, 0.000, 0.000)
Pd (0.680, 0.680, 0.960)
Pd (0.320, 0.320, 0.040)

Spin magnetization: 0.00 μB/f.u.
Space group: R-3m (166)
D(E_F): 3.71 states/eV/cell


Model x:
The following is a DFT calculation (GGA-PBE) of an optimized crystal structure of Rb2SbPd2.

Cell lengths 7.014, 7.014, 5.789 Å; angles 90.00, 90.00, 90.00 degrees
Sites, in units of the cell vectors:
Sb (0.000, 0.000, 0.000)
Sb (0.500, 0.500, 0.000)
Rb (0.177, 0.677, 0.500)
Rb (0.677, 0.823, 0.500)
Rb (0.823, 0.323, 0.500)
Rb (0.323, 0.177, 0.500)
Pd (0.359, 0.859, 0.000)
Pd (0.859, 0.641, 0.000)
Pd (0.641, 0.141, 0.000)
Pd (0.141, 0.359, 0.000)

Spin magnetization: 0.00 μB/f.u.
Space group: P4/mbm (127)
D(E_F): 6.57 states/eV/cell


Which of them is most stable? Easy: model w.


Model w:
The following is a DFT calculation (GGA-PBE) of an optimized crystal structure of RbSbTe2Pd.

Cell lengths 5.666, 5.666, 5.119 Å; angles 90.00, 90.00, 90.00 degrees
Sites, in units of the cell vectors:
Sb (0.000, 0.000, 0.500)
Te (0.000, 0.500, 0.000)
Te (0.500, 0.000, 0.000)
Rb (0.500, 0.500, 0.500)
Pd (0.000, 0.000, 0.000)

Spin magnetization: 0.00 μB/f.u.
Space group: P4/mmm (123)
D(E_F): 3.81 states/eV/cell


Model x:
The following is a DFT calculation (GGA-PBE) of an optimized crystal structure of RbSbTe2Pd.

Cell lengths 6.191, 6.191, 6.015 Å; angles 90.00, 90.00, 90.00 degrees
Sites, in units of the cell vectors:
Sb (0.000, 0.000, 0.500)
Te (0.000, 0.500, 0.000)
Te (0.500, 0.000, 0.000)
Rb (0.000, 0.000, 0.000)
Pd (0.500, 0.500, 0.500)

Spin magnetization: 0.00 μB/f.u.
Space group: P4/mmm (123)
D(E_F): 10.26 states/eV/cell


Which of them is most stable? Easy: model w.